# CaCdI2N

A geometry-optimized CaCdI2N structure (PBE-GGA, Alexandria via LeMat-Bulk).

Cell: 6.219 6.219 4.712 Å, 90.00 90.00 90.00°
Last column: magnetic moment on the atom in μB.
Atoms (fractional coordinates):
I (0.000, 0.500, 0.000)  0.05
I (0.500, 0.000, 0.000)  0.05
Ca (0.000, 0.000, 0.000)  0.01
N (0.000, 0.000, 0.500)  1.28
Cd (0.500, 0.500, 0.500)  0.02

Summary:
- Space group: P4/mmm
- Total moment: 2.243 μB per cell
- Total energy: -2.788 eV/atom

---

# MgTiSn2

A geometry-optimized MgTiSn2 structure (PBE-GGA, Alexandria via LeMat-Bulk).

Cell: 4.383 4.383 6.320 Å, 69.71 69.71 60.00°
Atoms (fractional coordinates):
Mg (0.494, 0.494, 0.518)
Ti (0.671, 0.671, 0.986)
Sn (0.076, 0.076, 0.772)
Sn (0.259, 0.259, 0.224)

Summary:
- Space group: R3m
- Total moment: 0.000 μB per cell
- Total energy: -4.430 eV/atom

---

# Tb2Tm2Al

A geometry-optimized Tb2Tm2Al structure (PBE-GGA, Alexandria via LeMat-Bulk).

Cell: 4.920 4.920 8.952 Å, 74.05 74.05 60.00°
Atoms (fractional coordinates):
Tb (0.567, 0.567, 0.299)
Tb (0.433, 0.433, 0.701)
Tm (0.301, 0.301, 0.096)
Tm (0.699, 0.699, 0.904)
Al (0.000, 0.000, 0.000)

Summary:
- Space group: R-3m
- Total moment: 0.000 μB per cell
- Total energy: -3.913 eV/atom

---

Computed N(E_F) (states/eV/atom) in order:
0.796 0.533 1.239
Computed V (Å³/f.u.) in order:
182 96 178